An optimized crystal structure of BaCoAs2O7. Source: Alexandria via LeMat-Bulk, functional PBE with a Hubbard U.

abc: 5.578 7.709 7.980
angles: 102.86 93.08 95.46
Sites, in units of the cell vectors:
Ba: 0.188 0.280 0.429
Ba: 0.812 0.720 0.571
Co: 0.182 0.114 0.898
Co: 0.818 0.886 0.102
As: 0.295 0.689 0.894
As: 0.316 0.771 0.290
As: 0.684 0.229 0.710
As: 0.705 0.311 0.106
O: 0.080 0.900 0.299
O: 0.099 0.854 0.912
O: 0.186 0.517 0.732
O: 0.273 0.608 0.087
O: 0.312 0.655 0.446
O: 0.407 0.110 0.704
O: 0.411 0.223 0.109
O: 0.589 0.777 0.891
O: 0.593 0.890 0.296
O: 0.688 0.345 0.554
O: 0.727 0.392 0.913
O: 0.814 0.483 0.268
O: 0.901 0.146 0.088
O: 0.920 0.100 0.701

E_tot: -0.230 hartree per atom
Fermi-level density of states: 0.00 states/eV/cell